(1)
# NaGaH4 SCAN single point on PBEsol structure
data_NaGaH4
_symmetry_space_group_name_H-M 'P 1'
_symmetry_Int_Tables_number 1
_cell_length_a 4.591
_cell_length_b 4.591
_cell_length_c 6.941
_cell_angle_alpha 90.00
_cell_angle_beta 90.00
_cell_angle_gamma 95.30
loop_
_symmetry_equiv_pos_as_xyz
'x,y,z'
loop_
_atom_site_label
_atom_site_type_symbol
_atom_site_fract_x
_atom_site_fract_y
_atom_site_fract_z
H1 H 0.815 0.191 0.250
Na1 Na 0.343 0.343 0.750
H2 H 0.311 0.311 0.432
H3 H 0.185 0.809 0.750
H4 H 0.191 0.815 0.250
H5 H 0.689 0.689 0.568
Na2 Na 0.657 0.657 0.250
H6 H 0.809 0.185 0.750
Ga1 Ga 0.844 0.844 0.750
H7 H 0.311 0.311 0.068
H8 H 0.689 0.689 0.932
Ga2 Ga 0.156 0.156 0.250
# **E_tot**: -5.888 eV per atom
# **Space-group type**: Cmcm, No. 63

(2)
# K2LiCd SCAN single point on PBEsol structure
data_K2LiCd
_symmetry_space_group_name_H-M 'P 1'
_symmetry_Int_Tables_number 1
_cell_length_a 4.897
_cell_length_b 5.082
_cell_length_c 7.057
_cell_angle_alpha 90.00
_cell_angle_beta 110.30
_cell_angle_gamma 90.00
loop_
_symmetry_equiv_pos_as_xyz
'x,y,z'
loop_
_atom_site_label
_atom_site_type_symbol
_atom_site_fract_x
_atom_site_fract_y
_atom_site_fract_z
Cd1 Cd 0.697 0.500 0.393
K1 K 0.101 0.000 0.201
Li1 Li 0.796 0.000 0.593
K2 K 0.404 0.500 0.808
# **Energy of formation**: 0.01 eV/atom
# **Space-group type**: Amm2, No. 38

(3)
# Er10Ga5Co SCAN single point on PBEsol structure
data_Er10Ga5Co
_symmetry_space_group_name_H-M 'P 1'
_symmetry_Int_Tables_number 1
_cell_length_a 7.295
_cell_length_b 7.295
_cell_length_c 8.664
_cell_angle_alpha 114.50
_cell_angle_beta 114.50
_cell_angle_gamma 90.86
loop_
_symmetry_equiv_pos_as_xyz
'x,y,z'
loop_
_atom_site_label
_atom_site_type_symbol
_atom_site_fract_x
_atom_site_fract_y
_atom_site_fract_z
Er1 Er 0.689 0.690 0.708
Er2 Er 0.310 0.311 0.292
Er3 Er 0.533 0.176 0.709
Ga1 Ga 0.117 0.883 0.000
Er4 Er 0.181 0.528 0.710
Er5 Er 0.522 0.010 0.000
Ga2 Ga 0.621 0.626 0.000
Ga3 Ga 0.374 0.379 0.000
Er6 Er 0.990 0.478 0.000
Ga4 Ga 0.748 0.252 0.500
Er7 Er 0.472 0.819 0.290
Co1 Co 0.873 0.127 0.000
Er8 Er 0.824 0.467 0.291
Ga5 Ga 0.248 0.752 0.500
Er9 Er 0.981 0.982 0.292
Er10 Er 0.018 0.019 0.708
# **Energy of formation**: -0.50 eV/atom
# **Space-group type**: Fmm2, No. 42

(4)
# Cd2SiAg SCAN single point on PBEsol structure
data_Cd2SiAg
_symmetry_space_group_name_H-M 'P 1'
_symmetry_Int_Tables_number 1
_cell_length_a 3.038
_cell_length_b 5.071
_cell_length_c 5.071
_cell_angle_alpha 110.22
_cell_angle_beta 90.00
_cell_angle_gamma 90.00
loop_
_symmetry_equiv_pos_as_xyz
'x,y,z'
loop_
_atom_site_label
_atom_site_type_symbol
_atom_site_fract_x
_atom_site_fract_y
_atom_site_fract_z
Cd1 Cd 0.000 0.500 0.000
Si1 Si 0.500 0.000 0.000
Cd2 Cd 0.000 0.000 0.500
Ag1 Ag 0.500 0.500 0.500
# **Uncorrected formation energy**: 1.085 eV per formula unit
# **Space-group type**: Cmmm, No. 65

(5)
# Tl2SbSe SCAN single point on PBEsol structure
data_Tl2SbSe
_symmetry_space_group_name_H-M 'P 1'
_symmetry_Int_Tables_number 1
_cell_length_a 3.661
_cell_length_b 3.661
_cell_length_c 9.631
_cell_angle_alpha 79.04
_cell_angle_beta 79.04
_cell_angle_gamma 60.00
loop_
_symmetry_equiv_pos_as_xyz
'x,y,z'
loop_
_atom_site_label
_atom_site_type_symbol
_atom_site_fract_x
_atom_site_fract_y
_atom_site_fract_z
Tl1 Tl 0.990 0.990 0.029
Se1 Se 0.245 0.245 0.266
Sb1 Sb 0.511 0.511 0.466
Tl2 Tl 0.754 0.754 0.739
# **Uncorrected formation energy**: -0.002 eV per formula unit
# **E above lowest polymorph**: 0.0 meV/atom
# **Space-group type**: R3m, No. 160

(6)
# CoSbCl2 SCAN single point on PBEsol structure
data_CoSbCl2
_symmetry_space_group_name_H-M 'P 1'
_symmetry_Int_Tables_number 1
_cell_length_a 3.301
_cell_length_b 4.955
_cell_length_c 6.062
_cell_angle_alpha 107.32
_cell_angle_beta 90.00
_cell_angle_gamma 109.45
loop_
_symmetry_equiv_pos_as_xyz
'x,y,z'
loop_
_atom_site_label
_atom_site_type_symbol
_atom_site_fract_x
_atom_site_fract_y
_atom_site_fract_z
Cl1 Cl 0.979 0.958 0.078
Cl2 Cl 0.161 0.323 0.660
Sb1 Sb 0.821 0.642 0.366
Co1 Co 0.539 0.078 0.396
# **Uncorrected formation energy**: -1.328 eV per formula unit
# **E above lowest polymorph**: 0.0 meV/atom
# **Space-group type**: Cm, No. 8

(7)
# La2CoHg SCAN single point on PBEsol structure
data_La2CoHg
_symmetry_space_group_name_H-M 'P 1'
_symmetry_Int_Tables_number 1
_cell_length_a 3.493
_cell_length_b 3.493
_cell_length_c 7.837
_cell_angle_alpha 90.00
_cell_angle_beta 90.00
_cell_angle_gamma 90.17
loop_
_symmetry_equiv_pos_as_xyz
'x,y,z'
loop_
_atom_site_label
_atom_site_type_symbol
_atom_site_fract_x
_atom_site_fract_y
_atom_site_fract_z
La1 La 0.000 0.000 0.292
Co1 Co 0.500 0.500 0.500
La2 La 0.000 0.000 0.708
Hg1 Hg 0.500 0.500 0.000
# **Energy of formation**: -0.33 eV/atom
# **Space-group type**: Cmmm, No. 65

(8)
# Na5Ca2AlP4O16 SCAN single point on PBEsol structure
data_Na5Ca2AlP4O16
_symmetry_space_group_name_H-M 'P 1'
_symmetry_Int_Tables_number 1
_cell_length_a 8.878
_cell_length_b 8.878
_cell_length_c 10.491
_cell_angle_alpha 107.50
_cell_angle_beta 107.50
_cell_angle_gamma 103.27
loop_
_symmetry_equiv_pos_as_xyz
'x,y,z'
loop_
_atom_site_label
_atom_site_type_symbol
_atom_site_fract_x
_atom_site_fract_y
_atom_site_fract_z
O1 O 0.050 0.515 0.524
O2 O 0.515 0.050 0.024
P1 P 0.641 0.556 0.291
P2 P 0.556 0.641 0.791
Na1 Na 0.283 0.270 0.131
O3 O 0.567 0.533 0.132
O4 O 0.234 0.275 0.387
P3 P 0.128 0.069 0.784
Na2 Na 0.886 0.243 0.775
P4 P 0.069 0.128 0.284
O5 O 0.724 0.417 0.298
O6 O 0.898 0.608 0.688
O7 O 0.993 0.025 0.845
O8 O 0.917 0.198 0.263
Na3 Na 0.775 0.747 0.120
P5 P 0.473 0.970 0.131
Al1 Al 0.924 0.407 0.334
Al2 Al 0.407 0.924 0.834
O9 O 0.344 0.858 0.500
O10 O 0.732 0.778 0.889
O11 O 0.778 0.732 0.389
Na4 Na 0.578 0.317 0.946
Na5 Na 0.814 0.073 0.987
O12 O 0.037 0.535 0.268
O13 O 0.067 0.045 0.132
P6 P 0.503 0.014 0.604
Na6 Na 0.270 0.283 0.631
Ca1 Ca 0.333 0.553 0.968
O14 O 0.299 0.823 0.037
O15 O 0.198 0.917 0.763
Ca2 Ca 0.016 0.802 0.928
Na7 Na 0.243 0.886 0.275
O16 O 0.480 0.176 0.592
O17 O 0.533 0.567 0.632
O18 O 0.176 0.480 0.092
O19 O 0.101 0.456 0.754
Na8 Na 0.073 0.814 0.487
O20 O 0.025 0.993 0.345
O21 O 0.663 0.994 0.583
Ca3 Ca 0.553 0.333 0.468
O22 O 0.275 0.234 0.887
O23 O 0.417 0.724 0.798
Na9 Na 0.317 0.578 0.446
P7 P 0.014 0.503 0.104
O24 O 0.858 0.344 0.000
O25 O 0.608 0.898 0.188
O26 O 0.823 0.299 0.537
P8 P 0.970 0.473 0.631
Na10 Na 0.747 0.775 0.620
O27 O 0.504 0.515 0.349
O28 O 0.456 0.101 0.254
O29 O 0.994 0.663 0.083
O30 O 0.535 0.037 0.768
Ca4 Ca 0.802 0.016 0.428
O31 O 0.515 0.504 0.849
O32 O 0.045 0.067 0.632
# **Uncorrected formation energy**: -78.269 eV per formula unit
# **Space-group type**: Cc, No. 9

(9)
# TlCuOs2 SCAN single point on PBEsol structure
data_TlCuOs2
_symmetry_space_group_name_H-M 'P 1'
_symmetry_Int_Tables_number 1
_cell_length_a 4.084
_cell_length_b 4.640
_cell_length_c 4.084
_cell_angle_alpha 63.89
_cell_angle_beta 90.00
_cell_angle_gamma 116.11
loop_
_symmetry_equiv_pos_as_xyz
'x,y,z'
loop_
_atom_site_label
_atom_site_type_symbol
_atom_site_fract_x
_atom_site_fract_y
_atom_site_fract_z
Os1 Os 0.250 0.500 0.250
Os2 Os 0.000 0.000 0.000
Cu1 Cu 0.750 0.500 0.750
Tl1 Tl 0.500 0.000 0.500
# **Energy of formation**: 0.90 eV/atom
# **E above lowest polymorph**: 0.0 meV/atom
# **Space-group type**: I-4m2, No. 119

(10)
# Sm6CdSi2S14 SCAN single point on PBEsol structure
data_Sm6CdSi2S14
_symmetry_space_group_name_H-M 'P 1'
_symmetry_Int_Tables_number 1
_cell_length_a 5.613
_cell_length_b 9.990
_cell_length_c 9.990
_cell_angle_alpha 120.00
_cell_angle_beta 90.00
_cell_angle_gamma 90.00
loop_
_symmetry_equiv_pos_as_xyz
'x,y,z'
loop_
_atom_site_label
_atom_site_type_symbol
_atom_site_fract_x
_atom_site_fract_y
_atom_site_fract_z
S1 S 0.018 0.521 0.109
S2 S 0.513 0.108 0.588
S3 S 0.760 0.089 0.259
S4 S 0.018 0.588 0.479
Sm1 Sm 0.248 0.233 0.874
Sm2 Sm 0.752 0.875 0.642
S5 S 0.513 0.412 0.521
Sm3 Sm 0.752 0.358 0.233
S6 S 0.760 0.169 0.911
S7 S 0.513 0.479 0.892
S8 S 0.035 0.333 0.667
Si1 Si 0.167 0.667 0.333
Sm4 Sm 0.752 0.767 0.125
S9 S 0.267 0.832 0.092
S10 S 0.267 0.260 0.168
S11 S 0.541 0.667 0.333
S12 S 0.018 0.891 0.412
S13 S 0.267 0.908 0.740
Sm5 Sm 0.248 0.126 0.358
Si2 Si 0.660 0.333 0.667
S14 S 0.760 0.741 0.831
Cd1 Cd 0.507 0.000 0.000
Sm6 Sm 0.248 0.642 0.767
# **Uncorrected formation energy**: -42.345 eV per formula unit
# **Space-group type**: P3, No. 143

Sequential M_tot output: 0.000, 0.056, 0.000, 0.000, 0.000, 1.965, 0.983, 0.000, 0.000, 0.000 μB per formula unit
Sequential DOS(E_F) output: 0.0, 2.6, 12.4, 1.2, 1.8, 0.9, 2.6, 0.0, 2.9, 0.0 states/eV per cell